# 1
This record from Alexandria describes a geometry-optimized KNaAcSn structure. The functional is PBE-GGA.

Unit cell a=5.8772 b=5.8772 c=5.8772 alpha=60.00 beta=60.00 gamma=60.00
Element x y z (fractional)
Na 0.7500 0.7500 0.7500
Sn 0.2500 0.2500 0.2500
Ac 0.0000 0.0000 0.0000
K 0.5000 0.5000 0.5000

Values from the calculation:
volume = 143.6 Å³ per cell
E_form = -0.152 eV/atom

# 2
This record from Alexandria describes a geometry-optimized KNaAc2Te4 structure. The functional is PBE-GGA.

Unit cell a=4.8209 b=8.4202 c=8.3511 alpha=70.65 beta=90.00 gamma=90.00
Element x y z (fractional)
Ac 0.5000 0.0000 0.5000
Te 0.0000 0.7680 0.7409
Te 0.5000 0.2359 0.7512
Ac 0.0000 0.0000 0.0000
Te 0.5000 0.7641 0.2488
K 0.5000 0.5000 0.0000
Na 0.0000 0.5000 0.5000
Te 0.0000 0.2320 0.2591

Values from the calculation:
volume = 319.8 Å³ per cell
formation energy (no corrections) = -1435 meV per atom

# 3
This record from Alexandria describes a geometry-optimized KNaAcTl structure. The functional is PBE-GGA.

Unit cell a=5.8289 b=5.8289 c=5.8289 alpha=60.00 beta=60.00 gamma=60.00
Element x y z (fractional)
Ac 0.7500 0.7500 0.7500
K 0.5000 0.5000 0.5000
Na 0.2500 0.2500 0.2500
Tl 0.0000 0.0000 0.0000

Values from the calculation:
volume = 140.0 Å³ per cell
E_form = 0.055 eV/atom

# 4
This record from Alexandria describes a geometry-optimized K2AcNbO6 structure. The functional is PBE-GGA.

Unit cell a=6.2934 b=6.2936 c=8.9063 alpha=90.00 beta=90.13 gamma=90.00
Last column: magnetic moment on the atom in μB.
Element x y z (fractional)
K 0.4982 0.4909 0.2504  0.00
O 0.9603 0.5064 0.2243  0.30
K 0.9982 0.0091 0.7504  0.00
Nb 0.0000 0.5000 0.0000  -0.12
Nb 0.5000 0.0000 0.5000  -0.12
O 0.7014 0.2468 0.5213  0.30
O 0.7460 0.7973 0.5198  0.29
O 0.7986 0.7468 0.9787  0.30
O 0.2014 0.2532 0.0213  0.30
O 0.2540 0.2027 0.4802  0.29
O 0.2986 0.7532 0.4787  0.30
Ac 0.0000 0.5000 0.5000  0.01
O 0.5397 0.0064 0.2757  0.30
K 0.0018 0.9909 0.2496  0.00
K 0.5018 0.5091 0.7496  0.00
O 0.7540 0.2973 0.9802  0.29
O 0.0397 0.4936 0.7757  0.30
O 0.2460 0.7027 0.0198  0.29
O 0.4603 0.9936 0.7243  0.30
Ac 0.5000 0.0000 0.0000  0.01

Values from the calculation:
volume = 352.8 Å³ per cell
formation energy (no corrections) = -2140 meV per atom